# 1
A plane-wave DFT calculation with PBE was carried out for a relaxed structure of Ca2Hg4Bi3Pb2.

Cell: 5.3260 5.3260 13.4852 Å, 90.00 90.00 120.00°
With the nearest neighbours (Å) after each atom.
Element x y z (fractional)
Ca 0.3333 0.6667 0.1014  5 Hg 3.18-3.56, 3 Bi 3.37
Ca 0.6667 0.3333 0.8986  5 Hg 3.18-3.56, 3 Bi 3.37
Hg 0.3333 0.6667 0.3524  4 Pb 3.10-3.20, 3 Bi 3.34, 1 Ca 3.38
Hg 0.3333 0.6667 0.8376  4 Ca 3.18-3.56, 3 Bi 3.32, 1 Pb 3.45
Hg 0.6667 0.3333 0.1624  4 Ca 3.18-3.56, 3 Bi 3.32, 1 Pb 3.45
Hg 0.6667 0.3333 0.6476  4 Pb 3.10-3.20, 3 Bi 3.34, 1 Ca 3.38
Bi 0.0000 0.0000 0.0000  6 Ca 3.37, 2 Bi 3.44
Bi 0.0000 0.0000 0.2553  6 Hg 3.32-3.34, 1 Bi 3.44, 3 Ca 3.71
Bi 0.0000 0.0000 0.7447  6 Hg 3.32-3.34, 1 Bi 3.44, 3 Ca 3.71
Pb 0.3333 0.6667 0.5820  5 Hg 3.10-3.45
Pb 0.6667 0.3333 0.4180  5 Hg 3.10-3.45

- symmetry = No. 164
- density (g cm⁻³) = 9.643
- energy of formation from the pure elements (eV per atom) = -0.24
- magnetization (μB/atom) = 0.000
- V (Å³/atom) = 30.1
- N(E_F) (states/eV per cell) = 3.8

---

# 2
A plane-wave DFT calculation with PBE was carried out for a relaxed structure of CaHgBiPb.

Cell: 5.9124 5.9124 5.9124 Å, 130.24 130.24 73.02°
With the nearest neighbours (Å) after each atom.
Element x y z (fractional)
Ca 0.0000 0.0000 0.0000  4 Hg 3.44, 4 Bi 3.44, 4 Pb 3.52
Hg 0.2500 0.7500 0.5000  4 Pb 3.44, 4 Ca 3.44, 4 Bi 3.52
Bi 0.7500 0.2500 0.5000  4 Pb 3.44, 4 Ca 3.44, 4 Hg 3.52
Pb 0.5000 0.5000 0.0000  4 Hg 3.44, 4 Bi 3.44, 4 Ca 3.52

- symmetry = No. 119
- density (g cm⁻³) = 9.274
- energy of formation from the pure elements (eV per atom) = -0.34
- magnetization (μB/atom) = 0.000
- V (Å³/atom) = 29.4
- N(E_F) (states/eV per cell) = 1.9

---

# 3
A plane-wave DFT calculation with PBE was carried out for a relaxed structure of CaHgBi2Pb2.

Cell: 4.7078 10.5731 7.7508 Å, 90.00 90.00 90.00°
With the nearest neighbours (Å) after each atom.
Element x y z (fractional)
Ca 0.0000 0.0504 0.0000  5 Bi 3.34-3.51, 4 Hg 3.40-3.68
Ca 0.0000 0.9496 0.5000  5 Bi 3.34-3.51, 4 Hg 3.40-3.68
Hg 0.5000 0.1621 0.7217  4 Bi 3.12-3.39, 2 Ca 3.40
Hg 0.5000 0.8379 0.2217  4 Bi 3.12-3.39, 2 Ca 3.40
Bi 0.0000 0.3482 0.8004  2 Hg 3.13, 4 Pb 3.22-3.41
Bi 0.0000 0.6518 0.3004  2 Hg 3.13, 4 Pb 3.22-3.41
Bi 0.5000 0.1295 0.2865  2 Hg 3.12-3.39, 2 Pb 3.30, 4 Ca 3.34-3.45
Bi 0.5000 0.8705 0.7865  2 Hg 3.12-3.39, 2 Pb 3.30, 4 Ca 3.34-3.45
Pb 0.0000 0.3351 0.3857  4 Bi 3.22-3.41, 2 Pb 3.43
Pb 0.0000 0.6649 0.8857  4 Bi 3.22-3.41, 2 Pb 3.43
Pb 0.5000 0.4354 0.0953  5 Bi 3.41-3.65, 4 Pb 3.43-3.75
Pb 0.5000 0.5646 0.5953  5 Bi 3.41-3.65, 4 Pb 3.43-3.75

- symmetry = No. 26
- density (g cm⁻³) = 9.237
- energy of formation from the pure elements (eV per atom) = -0.21
- magnetization (μB/atom) = 0.000
- V (Å³/atom) = 32.2
- N(E_F) (states/eV per cell) = 4.3

---

# 4
A plane-wave DFT calculation with PBE was carried out for a relaxed structure of Ca2Hg2BiPd5.

Cell: 10.1313 10.1313 4.0688 Å, 90.00 90.00 90.00°
With the nearest neighbours (Å) after each atom.
Element x y z (fractional)
Ca 0.1726 0.3274 0.0000  3 Hg 2.91-3.05, 2 Pd 3.20
Ca 0.3274 0.8274 0.0000  3 Hg 2.91-3.05, 2 Pd 3.20
Ca 0.6726 0.1726 0.0000  3 Hg 2.91-3.05, 2 Pd 3.20
Ca 0.8274 0.6726 0.0000  3 Hg 2.91-3.05, 2 Pd 3.20
Hg 0.1245 0.6245 0.0000  6 Pd 2.71-2.77, 1 Ca 2.91
Hg 0.3755 0.1245 0.0000  6 Pd 2.71-2.77, 1 Ca 2.91
Hg 0.6245 0.8755 0.0000  6 Pd 2.71-2.77, 1 Ca 2.91
Hg 0.8755 0.3755 0.0000  6 Pd 2.71-2.77, 1 Ca 2.91
Bi 0.0000 0.0000 0.0000  8 Pd 2.95
Bi 0.5000 0.5000 0.0000  8 Pd 2.95
Pd 0.0000 0.5000 0.5000  4 Hg 2.71
Pd 0.0676 0.8009 0.5000  2 Hg 2.77, 2 Bi 2.95, 2 Pd 3.01
Pd 0.1991 0.0676 0.5000  2 Hg 2.77, 2 Bi 2.95, 2 Pd 3.01
Pd 0.3009 0.5676 0.5000  2 Hg 2.77, 2 Bi 2.95, 2 Pd 3.01
Pd 0.4324 0.3009 0.5000  2 Hg 2.77, 2 Bi 2.95, 2 Pd 3.01
Pd 0.5000 0.0000 0.5000  4 Hg 2.71
Pd 0.5676 0.6991 0.5000  2 Hg 2.77, 2 Bi 2.95, 2 Pd 3.01
Pd 0.6991 0.4324 0.5000  2 Hg 2.77, 2 Bi 2.95, 2 Pd 3.01
Pd 0.8009 0.9324 0.5000  2 Hg 2.77, 2 Bi 2.95, 2 Pd 3.01
Pd 0.9324 0.1991 0.5000  2 Hg 2.77, 2 Bi 2.95, 2 Pd 3.01

- symmetry = No. 127
- density (g cm⁻³) = 9.721
- energy of formation from the pure elements (eV per atom) = -0.46
- magnetization (μB/atom) = 0.000
- V (Å³/atom) = 20.9
- N(E_F) (states/eV per cell) = 6.7

---

# 5
A plane-wave DFT calculation with PBE was carried out for a relaxed structure of Ca3Hg2BiPd8.

Cell: 5.5182 5.5182 10.7943 Å, 90.00 90.00 120.00°
With the nearest neighbours (Å) after each atom.
Element x y z (fractional)
Ca 0.0000 0.0000 0.0000  6 Hg 3.29, 6 Pd 3.49
Ca 0.3333 0.6667 0.5711  1 Pd 2.76
Ca 0.6667 0.3333 0.4289  1 Pd 2.76
Hg 0.3333 0.6667 0.0751  4 Pd 2.68-2.78
Hg 0.6667 0.3333 0.9249  4 Pd 2.68-2.78
Bi 0.0000 0.0000 0.5000  6 Pd 2.81
Pd 0.1679 0.3357 0.2867  6 Pd 2.74-3.02, 1 Hg 2.78, 1 Bi 2.81
Pd 0.1679 0.8321 0.2867  6 Pd 2.74-3.02, 1 Hg 2.78, 1 Bi 2.81
Pd 0.3333 0.6667 0.8267  1 Hg 2.68, 1 Ca 2.76
Pd 0.3357 0.1679 0.7133  6 Pd 2.74-3.02, 1 Hg 2.78, 1 Bi 2.81
Pd 0.6643 0.8321 0.2867  6 Pd 2.74-3.02, 1 Hg 2.78, 1 Bi 2.81
Pd 0.6667 0.3333 0.1733  1 Hg 2.68, 1 Ca 2.76
Pd 0.8321 0.1679 0.7133  6 Pd 2.74-3.02, 1 Hg 2.78, 1 Bi 2.81
Pd 0.8321 0.6643 0.7133  6 Pd 2.74-3.02, 1 Hg 2.78, 1 Bi 2.81

- symmetry = No. 164
- density (g cm⁻³) = 9.227
- energy of formation from the pure elements (eV per atom) = -0.42
- magnetization (μB/atom) = 0.000
- V (Å³/atom) = 20.3
- N(E_F) (states/eV per cell) = 10.8

---

# 6
A plane-wave DFT calculation with PBE was carried out for a relaxed structure of CaHgBiPt.

Cell: 5.1221 5.1221 5.1221 Å, 60.00 60.00 60.00°
With the nearest neighbours (Å) after each atom.
Element x y z (fractional)
Ca 0.0000 0.0000 0.0000  4 Hg 3.14, 4 Pt 3.14
Hg 0.7500 0.7500 0.7500  4 Bi 3.14, 4 Ca 3.14
Bi 0.5000 0.5000 0.5000  4 Hg 3.14, 4 Pt 3.14
Pt 0.2500 0.2500 0.2500  4 Bi 3.14, 4 Ca 3.14

- symmetry = No. 216
- density (g cm⁻³) = 11.266
- energy of formation from the pure elements (eV per atom) = -0.41
- magnetization (μB/atom) = 0.000
- V (Å³/atom) = 23.8
- N(E_F) (states/eV per cell) = 2.8

---

# 7
A plane-wave DFT calculation with PBE was carried out for a relaxed structure of Rb2CaHg3Bi4.

Cell: 5.1612 5.1612 13.3880 Å, 90.00 90.00 90.00°
With the nearest neighbours (Å) after each atom.
Element x y z (fractional)
Rb 0.0000 0.5000 0.2418  6 Hg 3.90-4.31, 8 Bi 3.99-4.14, 2 Ca 4.31
Rb 0.5000 0.0000 0.7582  6 Hg 3.90-4.31, 8 Bi 3.99-4.14, 2 Ca 4.31
Ca 0.0000 0.0000 0.5000  4 Bi 3.17
Hg 0.0000 0.5000 0.8616  5 Bi 3.00-3.18
Hg 0.5000 0.0000 0.1384  5 Bi 3.00-3.18
Hg 0.5000 0.5000 0.5000  4 Bi 3.17
Bi 0.0000 0.0000 0.0000  4 Hg 3.18
Bi 0.0000 0.5000 0.6371  3 Hg 3.00-3.17, 2 Ca 3.17
Bi 0.5000 0.0000 0.3629  3 Hg 3.00-3.17, 2 Ca 3.17
Bi 0.5000 0.5000 0.0000  4 Hg 3.18

- symmetry = No. 115
- density (g cm⁻³) = 7.677
- energy of formation from the pure elements (eV per atom) = -0.30
- magnetization (μB/atom) = 0.000
- V (Å³/atom) = 35.7
- N(E_F) (states/eV per cell) = 5.4

---

# 8
A plane-wave DFT calculation with PBE was carried out for a relaxed structure of RbCaHg2Bi2.

Cell: 5.1543 5.1543 9.2107 Å, 90.00 90.00 120.00°
With the nearest neighbours (Å) after each atom.
Element x y z (fractional)
Rb 0.0000 0.0000 0.0000  6 Bi 3.91
Ca 0.0000 0.0000 0.5000  6 Hg 3.27, 6 Bi 3.62
Hg 0.3333 0.6667 0.3524  3 Bi 3.06, 3 Ca 3.27
Hg 0.6667 0.3333 0.6476  3 Bi 3.06, 3 Ca 3.27
Bi 0.3333 0.6667 0.7247  3 Hg 3.06
Bi 0.6667 0.3333 0.2753  3 Hg 3.06

- symmetry = No. 164
- density (g cm⁻³) = 7.402
- energy of formation from the pure elements (eV per atom) = -0.41
- magnetization (μB/atom) = 0.000
- V (Å³/atom) = 35.3
- N(E_F) (states/eV per cell) = 1.8

---

# 9
A plane-wave DFT calculation with PBE was carried out for a relaxed structure of CaScHgBi.

Cell: 5.3054 5.3054 5.3054 Å, 60.00 60.00 60.00°
With the nearest neighbours (Å) after each atom.
Element x y z (fractional)
Ca 0.0000 0.0000 0.0000  4 Bi 3.25, 4 Hg 3.25
Sc 0.5000 0.5000 0.5000  4 Hg 3.25, 4 Bi 3.25
Hg 0.2500 0.2500 0.2500  4 Sc 3.25, 4 Ca 3.25
Bi 0.7500 0.7500 0.7500  4 Sc 3.25, 4 Ca 3.25

- symmetry = No. 216
- density (g cm⁻³) = 7.778
- energy of formation from the pure elements (eV per atom) = -0.45
- magnetization (μB/atom) = 0.001
- V (Å³/atom) = 26.4
- N(E_F) (states/eV per cell) = 5.2

---

# 10
A plane-wave DFT calculation with PBE was carried out for a relaxed structure of CaSmHgBi.

Cell: 5.4781 5.4781 5.4781 Å, 60.00 60.00 60.00°
With the nearest neighbours (Å) after each atom.
Element x y z (fractional)
Ca 0.0000 0.0000 0.0000  4 Hg 3.35, 4 Bi 3.35
Sm 0.5000 0.5000 0.5000  4 Hg 3.35, 4 Bi 3.35
Hg 0.7500 0.7500 0.7500  4 Ca 3.35, 4 Sm 3.35
Bi 0.2500 0.2500 0.2500  4 Ca 3.35, 4 Sm 3.35

- symmetry = No. 216
- density (g cm⁻³) = 8.571
- energy of formation from the pure elements (eV per atom) = -0.57
- magnetization (μB/atom) = 0.000
- V (Å³/atom) = 29.1
- N(E_F) (states/eV per cell) = 4.0

---

# 11
A plane-wave DFT calculation with PBE was carried out for a relaxed structure of SrCaHg2Bi.

Cell: 5.8593 5.8593 6.2535 Å, 90.00 90.00 90.00°
With the nearest neighbours (Å) after each atom.
Element x y z (fractional)
Sr 0.0000 0.0000 0.0000  4 Hg 2.93, 2 Bi 3.13
Ca 0.5000 0.5000 0.5000  4 Bi 4.14, 8 Hg 4.28
Hg 0.0000 0.5000 0.0000  2 Sr 2.93
Hg 0.5000 0.0000 0.0000  2 Sr 2.93
Bi 0.0000 0.0000 0.5000  2 Sr 3.13

- symmetry = No. 123
- density (g cm⁻³) = 5.707
- energy of formation from the pure elements (eV per atom) = 0.01
- magnetization (μB/atom) = 0.000
- V (Å³/atom) = 42.9
- N(E_F) (states/eV per cell) = 1.9

---

# 12
A plane-wave DFT calculation with PBE was carried out for a relaxed structure of CaTaHg2Bi.

Cell: 5.6789 5.6789 5.4560 Å, 90.00 90.00 90.00°
With the nearest neighbours (Å) after each atom.
Element x y z (fractional)
Ca 0.0000 0.0000 0.0000  8 Hg 3.94, 4 Ta 4.02
Ta 0.5000 0.5000 0.0000  2 Bi 2.73
Hg 0.0000 0.5000 0.5000  2 Bi 2.84
Hg 0.5000 0.0000 0.5000  2 Bi 2.84
Bi 0.5000 0.5000 0.5000  2 Ta 2.73, 4 Hg 2.84

- symmetry = No. 123
- density (g cm⁻³) = 7.844
- energy of formation from the pure elements (eV per atom) = 0.95
- magnetization (μB/atom) = 0.353
- V (Å³/atom) = 35.2
- N(E_F) (states/eV per cell) = 6.2

---

Question: The highest density belongs to which entry?
Answer: CaHgBiPt